This record from Alexandria describes an optimized crystal structure of SiRhAu. The functional is PBE.

a = 4.0916 Å, b = 4.0916 Å, c = 4.0916 Å
α = 60.00°, β = 60.00°, γ = 60.00°
Last column: nearest neighbours and their distance in Å.
Atoms (fractional coordinates):
Rh  0.5000  0.5000  0.5000  4 Si 2.51
Si  0.7500  0.7500  0.7500  4 Rh 2.51, 4 Au 2.51
Au  0.0000  0.0000  0.0000  4 Si 2.51

Values from the calculation:
- polymorph energy (0 for the lowest one) (eV/f.u.) = 0.00
- Fermi-level density of states (states/eV/atom) = 0.514
- formation energy without anion corrections (kJ per mole of atoms) = -34.7
- symmetry = F-43m



This record from Alexandria describes an optimized crystal structure of CsAg3Cl. The functional is PBE.

a = 5.5088 Å, b = 5.5088 Å, c = 5.5088 Å
α = 90.00°, β = 90.00°, γ = 90.00°
Last column: nearest neighbours and their distance in Å.
Atoms (fractional coordinates):
Ag  0.5000  0.0000  0.0000  2 Cl 2.75
Ag  0.0000  0.5000  0.0000  2 Cl 2.75
Ag  0.0000  0.0000  0.5000  2 Cl 2.75
Cl  0.0000  0.0000  0.0000  6 Ag 2.75
Cs  0.5000  0.5000  0.5000  12 Ag 3.90

Values from the calculation:
- polymorph energy (0 for the lowest one) (eV/f.u.) = 0.00
- Fermi-level density of states (states/eV/atom) = 1.803
- formation energy without anion corrections (kJ per mole of atoms) = 36.3
- symmetry = Pm-3m



This record from Alexandria describes an optimized crystal structure of PmNb2NiN4. The functional is PBE.

a = 3.2287 Å, b = 5.5767 Å, c = 10.8446 Å
α = 90.00°, β = 90.00°, γ = 106.83°
Last column: nearest neighbours and their distance in Å.
Atoms (fractional coordinates):
Pm  0.8932  0.7864  0.2500  6 N 2.36-2.56
Pm  0.1068  0.2136  0.7500  6 N 2.36-2.56
N  0.5539  0.1077  0.2500  2 Ni 1.98
N  0.2728  0.5457  0.1100  1 Ni 1.93, 1 Nb 2.08
N  0.0000  0.0000  0.5000  4 Nb 2.22
N  0.7272  0.4543  0.8900  1 Ni 1.93, 1 Nb 2.08
N  0.0000  0.0000  0.0000  4 Nb 2.22
N  0.4461  0.8923  0.7500  2 Ni 1.98
N  0.7272  0.4543  0.6100  1 Ni 1.93, 1 Nb 2.08
N  0.2728  0.5457  0.3900  1 Ni 1.93, 1 Nb 2.08
Ni  0.1616  0.3232  0.2500  4 N 1.93-1.98
Ni  0.8384  0.6768  0.7500  4 N 1.93-1.98
Nb  0.3693  0.7386  0.5569  6 N 2.08-2.29
Nb  0.6307  0.2614  0.0569  6 N 2.08-2.29
Nb  0.3693  0.7386  0.9431  6 N 2.08-2.29
Nb  0.6307  0.2614  0.4431  6 N 2.08-2.29

Values from the calculation:
- Fermi-level density of states (states/eV/atom) = 0.153
- formation energy without anion corrections (kJ per mole of atoms) = -88.7
- symmetry = Cmcm



This record from Alexandria describes an optimized crystal structure of AcGdH2. The functional is PBE.

a = 3.7411 Å, b = 3.7411 Å, c = 6.4209 Å
α = 73.06°, β = 73.06°, γ = 60.00°
Last column: nearest neighbours and their distance in Å.
Atoms (fractional coordinates):
Gd  0.0000  0.0000  0.0000  6 H 2.48
Ac  0.5000  0.5000  0.5000  6 H 2.81
H  0.2660  0.2660  0.2021  3 Gd 2.48
H  0.7340  0.7340  0.7979  3 Gd 2.48

Values from the calculation:
- Fermi-level density of states (states/eV/atom) = 0.620
- symmetry = R-3m



This record from Alexandria describes an optimized crystal structure of PrAl2Ag3. The functional is PBE.

a = 5.5316 Å, b = 6.7552 Å, c = 6.7552 Å
α = 99.83°, β = 90.00°, γ = 90.00°
Last column: nearest neighbours and their distance in Å.
Atoms (fractional coordinates):
Ag  0.7500  0.4600  0.1032  4 Al 2.58-2.84, 1 Ag 2.77
Ag  0.7500  0.0444  0.0444  4 Al 2.67, 4 Ag 2.77-2.87
Ag  0.2500  0.5400  0.8968  4 Al 2.58-2.84, 1 Ag 2.77
Ag  0.7500  0.1032  0.4600  4 Al 2.58-2.84, 1 Ag 2.77
Ag  0.2500  0.9556  0.9556  4 Al 2.67, 4 Ag 2.77-2.87
Ag  0.2500  0.8968  0.5400  4 Al 2.58-2.84, 1 Ag 2.77
Al  0.5000  0.7817  0.2183  6 Ag 2.58-2.84, 2 Al 2.77
Al  0.0000  0.7817  0.2183  6 Ag 2.58-2.84, 2 Al 2.77
Al  0.5000  0.2183  0.7817  6 Ag 2.58-2.84, 2 Al 2.77
Al  0.0000  0.2183  0.7817  6 Ag 2.58-2.84, 2 Al 2.77
Pr  0.2500  0.3267  0.3267  7 Ag 3.23-3.45, 4 Al 3.56
Pr  0.7500  0.6733  0.6733  7 Ag 3.23-3.45, 4 Al 3.56

Values from the calculation:
- ΔH_f (0 K) (eV per atom) = -0.255
- Fermi-level density of states (states/eV/atom) = 0.566
- symmetry = Cmcm



This record from Alexandria describes an optimized crystal structure of DyZn5Au2. The functional is PBE.

a = 3.6161 Å, b = 6.6977 Å, c = 6.6977 Å
α = 71.08°, β = 74.34°, γ = 74.34°
Last column: nearest neighbours and their distance in Å.
Atoms (fractional coordinates):
Dy  0.0000  0.0000  0.0000  4 Au 3.05, 8 Zn 3.25
Au  0.7394  0.7606  0.7606  7 Zn 2.61-2.73
Au  0.2606  0.2394  0.2394  7 Zn 2.61-2.73
Zn  0.6299  0.1721  0.5681  3 Au 2.61-2.73, 3 Zn 2.67-2.73
Zn  0.3701  0.4319  0.8279  3 Au 2.61-2.73, 3 Zn 2.67-2.73
Zn  0.0000  0.5000  0.5000  2 Au 2.68, 8 Zn 2.73
Zn  0.3701  0.8279  0.4319  3 Au 2.61-2.73, 3 Zn 2.67-2.73
Zn  0.6299  0.5681  0.1721  3 Au 2.61-2.73, 3 Zn 2.67-2.73

Values from the calculation:
- ΔH_f (0 K) (eV per atom) = -0.343
- Fermi-level density of states (states/eV/atom) = 0.373
- symmetry = Immm



This record from Alexandria describes an optimized crystal structure of EuGePb2. The functional is PBE.

a = 4.8378 Å, b = 4.7633 Å, c = 4.7633 Å
α = 90.00°, β = 90.00°, γ = 90.00°
Last column: nearest neighbours and their distance in Å.
Atoms (fractional coordinates):
Eu  0.5000  0.5000  0.5000  4 Ge 3.37, 8 Pb 3.39
Pb  0.0000  0.0000  0.5000  4 Pb 3.37, 4 Eu 3.39, 4 Ge 3.39
Pb  0.0000  0.5000  0.0000  4 Pb 3.37, 4 Eu 3.39, 4 Ge 3.39
Ge  0.5000  0.0000  0.0000  4 Eu 3.37, 8 Pb 3.39

Values from the calculation:
- polymorph energy (0 for the lowest one) (eV/f.u.) = 0.00
- ΔH_f (0 K) (eV per atom) = -0.312
- Fermi-level density of states (states/eV/atom) = 0.950
- symmetry = P4/mmm



This record from Alexandria describes an optimized crystal structure of TiCrHgB2. The functional is PBE.

a = 4.0997 Å, b = 4.3714 Å, c = 4.0997 Å
α = 90.00°, β = 90.00°, γ = 90.00°
Last column: nearest neighbours and their distance in Å.
Atoms (fractional coordinates):
Ti  0.0000  0.5000  0.0000  2 Cr 2.19
Cr  0.0000  0.0000  0.0000  4 B 2.05, 2 Ti 2.19
B  0.5000  0.0000  0.0000  2 Cr 2.05
B  0.0000  0.0000  0.5000  2 Cr 2.05
Hg  0.5000  0.5000  0.5000  4 Ti 2.90, 8 B 3.00

Values from the calculation:
- ΔH_f (0 K) (eV per atom) = 0.939
- Fermi-level density of states (states/eV/atom) = 0.718
- symmetry = P4/mmm



This record from Alexandria describes an optimized crystal structure of NbBi2RuN. The functional is PBE.

a = 5.5240 Å, b = 4.6738 Å, c = 5.5240 Å
α = 90.00°, β = 90.00°, γ = 90.00°
Last column: nearest neighbours and their distance in Å.
Atoms (fractional coordinates):
Bi  0.5000  0.0000  0.0000  2 Nb 2.76
Bi  0.0000  0.0000  0.5000  2 Nb 2.76
Ru  0.0000  0.5000  0.0000  2 Nb 2.34
N  0.5000  0.5000  0.5000  8 Bi 3.62, 4 Ru 3.91
Nb  0.0000  0.0000  0.0000  2 Ru 2.34

Values from the calculation:
- Fermi-level density of states (states/eV/atom) = 0.850
- formation energy without anion corrections (kJ per mole of atoms) = 178.4
- symmetry = P4/mmm



This record from Alexandria describes an optimized crystal structure of LiRhW. The functional is PBE.

a = 4.2567 Å, b = 4.2567 Å, c = 2.6877 Å
α = 90.00°, β = 90.00°, γ = 120.00°
Last column: nearest neighbours and their distance in Å.
Atoms (fractional coordinates):
Rh  0.6667  0.3333  0.3209  3 Li 2.58, 3 W 2.61, 2 Rh 2.69
W  0.3333  0.6667  0.6460  3 Rh 2.61, 3 Li 2.67, 2 W 2.69
Li  0.0000  0.0000  0.0330  3 Rh 2.58, 3 W 2.67, 2 Li 2.69

Values from the calculation:
- polymorph energy (0 for the lowest one) (eV/f.u.) = 0.00
- ΔH_f (0 K) (eV per atom) = 0.110
- Fermi-level density of states (states/eV/atom) = 0.997
- symmetry = P3m1



This record from Alexandria describes an optimized crystal structure of Na3Mn4TlBr12. The functional is PBE.

a = 9.5781 Å, b = 9.5781 Å, c = 9.5781 Å
α = 106.29°, β = 106.29°, γ = 106.29°
Last column: nearest neighbours and their distance in Å.
Atoms (fractional coordinates):
Br  0.6576  0.5000  0.3424  1 Mn 2.42
Br  0.3367  0.9478  0.2150  1 Mn 2.44
Br  0.9478  0.2150  0.3367  1 Mn 2.44
Br  0.3424  0.6576  0.5000  1 Mn 2.42
Br  0.9029  0.5000  0.0971  1 Mn 2.42
Br  0.2150  0.3367  0.9478  1 Mn 2.44
Br  0.0971  0.9029  0.5000  1 Mn 2.42
Br  0.7850  0.0522  0.6633  1 Mn 2.44
Br  0.5000  0.3424  0.6576  1 Mn 2.42
Br  0.0522  0.6633  0.7850  1 Mn 2.44
Br  0.5000  0.0971  0.9029  1 Mn 2.42
Br  0.6633  0.7850  0.0522  1 Mn 2.44
Tl  0.0000  0.0000  0.0000  6 Br 3.56
Na  0.0000  0.5569  0.4431  6 Br 2.99-3.02
Na  0.5569  0.4431  0.0000  6 Br 2.99-3.02
Na  0.4431  0.0000  0.5569  6 Br 2.99-3.02
Mn  0.0605  0.5000  0.9395  3 Br 2.42-2.44
Mn  0.9395  0.0605  0.5000  3 Br 2.42-2.44
Mn  0.5000  0.9395  0.0605  3 Br 2.42-2.44
Mn  0.5000  0.5000  0.5000  3 Br 2.42

Values from the calculation:
- Fermi-level density of states (states/eV/atom) = 0.000
- formation energy without anion corrections (kJ per mole of atoms) = -89.4
- symmetry = R32



This record from Alexandria describes an optimized crystal structure of Mn2TlAu. The functional is PBE.

a = 5.2403 Å, b = 5.2403 Å, c = 4.7122 Å
α = 73.97°, β = 73.97°, γ = 35.91°
Last column: nearest neighbours and their distance in Å.
Atoms (fractional coordinates):
Mn  0.7408  0.7408  0.7516  4 Au 2.77-2.95, 2 Mn 2.87, 3 Tl 2.92-2.98
Mn  0.9987  0.9987  0.0152  3 Au 2.80-3.02, 4 Tl 2.85-2.87, 2 Mn 2.87
Au  0.2604  0.2604  0.2162  7 Mn 2.77-3.02, 2 Tl 3.04
Tl  0.5001  0.5001  0.5170  7 Mn 2.85-2.98, 3 Au 3.04-3.11

Values from the calculation:
- polymorph energy (0 for the lowest one) (eV/f.u.) = 0.23
- ΔH_f (0 K) (eV per atom) = 0.307
- Fermi-level density of states (states/eV/atom) = 0.642
- symmetry = Cm



Number 1: E_tot -5.71 eV per atom. Number 2: E_tot -1.87 eV per atom. Number 3: E_tot -8.92 eV per atom. Number 4: E_tot -6.55 eV per atom. Number 5: E_tot -3.72 eV per atom. Number 6: E_tot -2.53 eV per atom. Number 7: E_tot -5.89 eV per atom. Number 8: E_tot -5.30 eV per atom. Number 9: E_tot -5.24 eV per atom. Number 10: E_tot -7.30 eV per atom. Number 11: E_tot -4.08 eV per atom. Number 12: E_tot -5.69 eV per atom.